# CrPdNO2 | the Alexandria database | PBE+U | relaxed
# E_tot = -28.21 eV/cell
# Total moment = 3.7 μB/cell
# V = 12.6 Å³/atom
data_CrPdNO2
_symmetry_space_group_name_H-M 'P 1'
_symmetry_Int_Tables_number 1
_symmetry_space_group_name_Hall 'P 1'
_cell_length_a 4.135
_cell_length_b 4.135
_cell_length_c 3.686
_cell_angle_alpha 90.00
_cell_angle_beta 90.00
_cell_angle_gamma 90.00
loop_
_atom_site_label
_atom_site_fract_x
_atom_site_fract_y
_atom_site_fract_z
O1 0.000 0.500 0.000
O2 0.500 0.000 0.000
Cr1 0.500 0.500 0.500
Pd1 0.000 0.000 0.000
N1 0.000 0.000 0.500